Y2TcRh | Alexandria via LeMat-Bulk | SCAN | single point on PBEsol structure; space-group type = I-4m2, No. 119; total moment = 0.00 Bohr magnetons per cell; crystal system = tetragonal; density of states at the Fermi level = 0.747 states/eV/atom; electronic total energy = -31.238 eV/atom; energy of formation from the pure elements = -0.11 eV per atom
1.0
3.976 0.000 0.000
0.000 3.976 0.000
-1.988 -1.988 4.920
Rh Tc Y
1 1 2
direct
0.500 0.500 0.000
0.250 0.750 0.500
0.000 0.000 0.000
0.750 0.250 0.500